(1)
This record from the Open Quantum Materials Database describes an optimized crystal structure of TmInRe. The functional is GGA-PBE.

The structure in POSCAR format:
```
TmInRe
1.0
0.000 3.352 3.352
3.352 0.000 3.352
3.352 3.352 0.000
Tm In Re
1 1 1
direct
0.000 0.000 0.000
0.750 0.750 0.750
0.250 0.250 0.250
```

Results
Total energy = -5.393 eV per atom

(2)
This record from the Open Quantum Materials Database describes an optimized crystal structure of ReNi. The functional is GGA-PBE.

The structure in POSCAR format:
```
ReNi
1.0
2.522 -4.187 0.000
2.522 4.187 0.000
0.000 0.000 8.042
Re Ni
6 6
direct
0.000 0.000 0.000
0.000 0.000 0.500
0.152 0.355 0.750
0.355 0.152 0.250
0.645 0.848 0.750
0.848 0.645 0.250
0.163 0.837 0.750
0.361 0.639 0.081
0.361 0.639 0.419
0.639 0.361 0.581
0.639 0.361 0.919
0.837 0.163 0.250
```

Results
Energy relative to the elements = 90 kJ/mol of formula units

(3)
This record from the Open Quantum Materials Database describes an optimized crystal structure of TbTh. The functional is GGA-PBE.

The structure in POSCAR format:
```
TbTh
1.0
3.545 0.000 0.000
-1.772 3.070 0.000
0.000 0.000 5.900
Tb Th
1 1
direct
0.000 0.000 0.000
0.667 0.333 0.500
```

Results
Energy relative to the elements = 11 kJ/mol of formula units

(4)
This record from the Open Quantum Materials Database describes an optimized crystal structure of Cu5Ag4. The functional is GGA-PBE.

The structure in POSCAR format:
```
Cu5Ag4
1.0
4.363 -1.932 0.000
4.363 1.932 0.000
-2.724 0.000 7.756
Cu Ag
5 4
direct
0.000 0.000 0.000
0.327 0.327 0.105
0.333 0.333 0.444
0.667 0.667 0.556
0.673 0.673 0.895
0.000 0.000 0.332
0.000 0.000 0.668
0.334 0.334 0.786
0.666 0.666 0.214
```

Results
Energy relative to the elements = 90 kJ/mol of formula units

(5)
This record from the Open Quantum Materials Database describes an optimized crystal structure of Lu4ZnCuN2. The functional is GGA-PBE.

The structure in POSCAR format:
```
Lu4ZnCuN2
1.0
3.379 0.000 0.000
-1.690 2.926 0.000
0.000 0.000 14.228
Lu Zn Cu N
4 1 1 2
direct
0.000 0.000 0.147
0.000 0.000 0.853
0.667 0.333 0.335
0.667 0.333 0.665
0.000 0.000 0.500
0.667 0.333 0.000
0.333 0.667 0.246
0.333 0.667 0.754
```

Results
Total energy = -5.868 eV per atom

(6)
This record from the Open Quantum Materials Database describes an optimized crystal structure of AcBeCu. The functional is GGA-PBE.

The structure in POSCAR format:
```
AcBeCu
1.0
0.000 3.316 3.316
3.316 0.000 3.316
3.316 3.316 0.000
Ac Be Cu
1 1 1
direct
0.000 0.000 0.000
0.500 0.500 0.500
0.250 0.250 0.250
```

Results
Total energy = -3.468 eV per atom

(7)
This record from the Open Quantum Materials Database describes an optimized crystal structure of ScUGa. The functional is GGA-PBE.

The structure in POSCAR format:
```
ScUGa
1.0
0.000 3.380 3.380
3.380 0.000 3.380
3.380 3.380 0.000
Sc U Ga
1 1 1
direct
0.000 0.000 0.000
0.750 0.750 0.750
0.500 0.500 0.500
```

Results
Total energy = -6.032 eV per atom

(8)
This record from the Open Quantum Materials Database describes an optimized crystal structure of Nd2Sm2CIBr2Cl2. The functional is GGA-PBE.

The structure in POSCAR format:
```
Nd2Sm2CIBr2Cl2
1.0
9.112 -1.976 0.000
9.112 1.976 0.000
-2.263 0.000 8.336
Nd Sm C I Br Cl
2 2 1 1 2 2
direct
0.143 0.143 0.083
0.857 0.857 0.917
0.499 0.499 0.804
0.501 0.501 0.196
0.000 0.000 0.000
0.000 0.000 0.500
0.331 0.331 0.160
0.669 0.669 0.840
0.340 0.340 0.676
0.660 0.660 0.324
```

Results
Total energy = -5.154 eV per atom

(9)
This record from the Open Quantum Materials Database describes an optimized crystal structure of SrTmAuSe3. The functional is GGA-PBE.

The structure in POSCAR format:
```
SrTmAuSe3
1.0
9.129 -2.029 0.000
9.129 2.029 0.000
-1.607 0.000 8.302
Sr Tm Au Se
2 2 2 6
direct
0.128 0.128 0.079
0.872 0.872 0.921
0.164 0.164 0.592
0.836 0.836 0.408
0.455 0.455 0.285
0.545 0.545 0.715
0.000 0.000 0.500
0.312 0.312 0.164
0.324 0.324 0.635
0.500 0.500 0.000
0.676 0.676 0.365
0.688 0.688 0.836
```

Results
Total energy = -4.740 eV per atom

(10)
This record from the Open Quantum Materials Database describes an optimized crystal structure of MgSc2GaIr4. The functional is GGA-PBE.

The structure in POSCAR format:
```
MgSc2GaIr4
1.0
4.456 0.000 0.000
0.000 4.456 0.000
0.000 0.000 6.316
Mg Sc Ga Ir
1 2 1 4
direct
0.000 0.000 0.000
0.000 0.000 0.500
0.500 0.500 0.000
0.500 0.500 0.500
0.000 0.500 0.256
0.000 0.500 0.744
0.500 0.000 0.256
0.500 0.000 0.744
```

Results
Total energy = -7.340 eV per atom

(11)
This record from the Open Quantum Materials Database describes an optimized crystal structure of AgMoPdAu. The functional is GGA-PBE.

The structure in POSCAR format:
```
AgMoPdAu
1.0
0.000 3.216 3.216
3.216 0.000 3.216
3.216 3.216 0.000
Ag Mo Pd Au
1 1 1 1
direct
0.000 0.000 0.000
0.500 0.500 0.500
0.250 0.250 0.250
0.750 0.750 0.750
```

Results
Energy relative to the elements = 123 kJ/mol of formula units

(12)
This record from the Open Quantum Materials Database describes an optimized crystal structure of Tb2H2BrCl3. The functional is GGA-PBE.

The structure in POSCAR format:
```
Tb2H2BrCl3
1.0
3.783 0.000 0.000
-1.892 3.276 0.000
0.000 0.000 14.024
Tb H Br Cl
2 2 1 3
direct
0.000 0.000 0.000
0.000 0.000 0.495
0.333 0.667 0.497
0.667 0.333 0.000
0.667 0.333 0.634
0.333 0.667 0.125
0.333 0.667 0.875
0.667 0.333 0.371
```

Results
Total energy = -4.618 eV per atom